LiMg2 after structural relaxation, computed with PBE.

* total energy: -1.732 eV/atom
* DOS at the Fermi energy: 1.40 states/eV/f.u.
* SG: No. 155

```
LiMg2
1.0
2.717 1.569 5.093
-2.717 1.569 5.093
0.000 -3.137 5.093
Li Mg
2 4
Direct
0.167 0.167 0.167 Li
0.833 0.833 0.833 Li
0.000 0.669 0.331 Mg
0.331 0.000 0.669 Mg
0.500 0.500 0.500 Mg
0.669 0.331 0.000 Mg
```

---

Li4Mg after structural relaxation, computed with PBE.

* DOS at the Fermi energy: 2.62 states/eV/f.u.
* SG: No. 87
* E above lowest polymorph: 0.0 meV/atom

```
Li4Mg
1.0
-3.475 3.475 2.089
3.475 -3.475 2.089
3.475 3.475 -2.089
Li Mg
4 1
Direct
0.100 0.301 0.401 Li
0.301 0.900 0.201 Li
0.699 0.100 0.799 Li
0.900 0.699 0.599 Li
0.500 0.500 0.000 Mg
```

---

It is found that the spin magnetization values, taken in the order of the records, are 0.000; 0.000 μB per cell.